VASP calculation (PBE-GGA) on a relaxed Cs4K3LiCl8 crystal. Values from VASP.

Geometry as Quantum ESPRESSO input:
```
&SYSTEM
  ibrav = 0, nat = 16, ntyp = 4
/
ATOMIC_SPECIES
Cl 35.45 Cl.upf
K 39.10 K.upf
Cs 132.91 Cs.upf
Li 6.94 Li.upf
CELL_PARAMETERS angstrom
-4.089 -7.882 2.432
7.757 -4.693 -2.168
0.437 7.052 6.163
ATOMIC_POSITIONS crystal
Cl 0.215 0.700 0.986
Cl 0.259 0.279 0.519
K 0.500 0.500 0.000
Cl 0.771 0.700 0.986
K 0.500 0.500 0.500
Cs 0.500 0.000 0.000
Cl 0.741 0.721 0.481
Cl 0.749 0.269 0.498
Cs 0.000 0.000 0.500
Cl 0.229 0.300 0.014
Li 0.000 0.500 0.000
Cl 0.251 0.731 0.502
Cl 0.785 0.300 0.014
K 0.000 0.500 0.500
Cs 0.500 0.000 0.500
Cs 0.000 0.000 0.000
```

Computed properties:
symmetry	C2/m (12)
uncorrected formation energy	-1.882	eV per atom
volume	36.1	A^3/atom
crystal system	monoclinic



VASP calculation (PBE-GGA) on a relaxed MnIr2W crystal. Values from VASP.

Geometry as Quantum ESPRESSO input:
```
&SYSTEM
  ibrav = 0, nat = 4, ntyp = 3
/
ATOMIC_SPECIES
Ir 192.22 Ir.upf
W 183.84 W.upf
Mn 54.94 Mn.upf
CELL_PARAMETERS angstrom
0.000 3.071 3.071
3.071 0.000 3.071
3.071 3.071 0.000
ATOMIC_POSITIONS crystal
Ir 0.250 0.250 0.250
W 0.500 0.500 0.500
Mn 0.000 0.000 0.000
Ir 0.750 0.750 0.750
```

Computed properties:
symmetry	Fm-3m (225)
volume	14.5	A^3/atom
excess energy over the best structure of this formula in the dataset	605	meV/atom
crystal system	cubic
formation energy	342	meV per atom